Density functional theory data (meta-GGA SCAN) for BeTe3 at its PBEsol-relaxed geometry.

**E above lowest polymorph**: 0 meV/atom
**ΔE_f (raw)**: 212 meV/atom

```
BeTe3
1.0
3.6382 0.0000 0.0000
0.0000 6.2893 0.0000
0.0000 0.0000 8.8152
Be Te
2 6
Direct
0.2500 0.2500 0.2064
0.7500 0.7500 0.7936
0.2500 0.5034 0.6474
0.2500 0.7500 0.9840
0.2500 0.9966 0.6474
0.7500 0.0034 0.3526
0.7500 0.2500 0.0160
0.7500 0.4966 0.3526
```


Density functional theory data (meta-GGA SCAN) for Cs7Cu6F19 at its PBEsol-relaxed geometry.

**ΔE_f (raw)**: -2376 meV/atom

```
Cs7Cu6F19
1.0
11.3355 0.0000 0.0000
0.0000 6.1494 0.0000
-2.0043 0.0000 15.6037
Cs Cu F
14 12 38
Direct
0.0000 0.0000 0.0000
0.0000 0.5000 0.5000
0.0928 0.0077 0.7064
0.0928 0.4923 0.2064
0.3428 0.5017 0.4342
0.3428 0.9983 0.9342
0.4474 0.0064 0.6513
0.4474 0.4936 0.1513
0.5526 0.5064 0.8487
0.5526 0.9936 0.3487
0.6572 0.0017 0.0658
0.6572 0.4983 0.5658
0.9072 0.5077 0.7936
0.9072 0.9923 0.2936
0.1738 0.0028 0.4874
0.1738 0.4972 0.9874
0.2283 0.5021 0.8218
0.2283 0.9979 0.3218
0.2668 0.5052 0.6523
0.2668 0.9948 0.1523
0.7332 0.0052 0.8477
0.7332 0.4948 0.3477
0.7717 0.0021 0.6782
0.7717 0.4979 0.1782
0.8262 0.5028 0.0126
0.8262 0.9972 0.5126
0.0000 0.0000 0.5000
0.0000 0.5000 0.0000
0.1126 0.5011 0.6879
0.1126 0.9989 0.1879
0.1397 0.1988 0.3870
0.1397 0.3012 0.8870
0.1409 0.7260 0.8677
0.1409 0.7740 0.3677
0.2119 0.7215 0.0695
0.2119 0.7785 0.5695
0.2224 0.2320 0.0734
0.2224 0.2680 0.5734
0.3128 0.7033 0.7553
0.3128 0.7967 0.2553
0.3139 0.2242 0.2762
0.3139 0.2758 0.7762
0.3375 0.5028 0.9599
0.3375 0.9972 0.4599
0.4234 0.5066 0.6250
0.4234 0.9934 0.1250
0.5766 0.0066 0.8750
0.5766 0.4934 0.3750
0.6625 0.0028 0.5401
0.6625 0.4972 0.0401
0.6861 0.7242 0.2238
0.6861 0.7758 0.7238
0.6872 0.2033 0.7447
0.6872 0.2967 0.2447
0.7776 0.7320 0.4266
0.7776 0.7680 0.9266
0.7881 0.2215 0.4305
0.7881 0.2785 0.9305
0.8591 0.2260 0.6323
0.8591 0.2740 0.1323
0.8603 0.6988 0.1130
0.8603 0.8012 0.6130
0.8874 0.0011 0.8121
0.8874 0.4989 0.3121
```


Density functional theory data (meta-GGA SCAN) for BaLa2Fe at its PBEsol-relaxed geometry.

**Energy relative to the elements**: 523 meV/atom

```
BaLa2Fe
1.0
5.3287 0.0000 0.0000
0.0000 5.3287 0.0000
0.0000 0.0000 7.8765
Ba La Fe
2 4 2
Direct
0.0000 0.0000 0.0000
0.5000 0.5000 0.5000
0.0000 0.5000 0.2500
0.0000 0.5000 0.7500
0.5000 0.0000 0.2500
0.5000 0.0000 0.7500
0.0000 0.0000 0.5000
0.5000 0.5000 0.0000
```


Density functional theory data (meta-GGA SCAN) for NaMgTe2Au at its PBEsol-relaxed geometry.

**ΔE_f (raw)**: 451 meV/atom

```
NaMgTe2Au
1.0
5.4167 0.0000 0.0000
0.0000 5.4167 0.0000
0.0000 0.0000 4.9263
Na Mg Te Au
1 1 2 1
Direct
0.0000 0.0000 0.0000
0.5000 0.5000 0.5000
0.0000 0.5000 0.0000
0.5000 0.0000 0.0000
0.0000 0.0000 0.5000
```


Density functional theory data (meta-GGA SCAN) for NbGaO2 at its PBEsol-relaxed geometry.

**ΔE_f (raw)**: -1538 meV/atom

```
NbGaO2
1.0
2.9186 0.0000 0.0000
-1.4593 2.5276 0.0000
0.0000 0.0000 19.1179
Nb Ga O
3 3 6
Direct
0.0000 0.0000 0.0000
0.3333 0.6667 0.6667
0.6667 0.3333 0.3333
0.0000 0.0000 0.5000
0.3333 0.6667 0.1667
0.6667 0.3333 0.8333
0.0000 0.0000 0.1117
0.0000 0.0000 0.8883
0.3333 0.6667 0.5550
0.3333 0.6667 0.7784
0.6667 0.3333 0.2216
0.6667 0.3333 0.4450
```


Density functional theory data (meta-GGA SCAN) for Zr3PtCl at its PBEsol-relaxed geometry.

**ΔE_f (raw)**: -1 meV/atom

```
Zr3PtCl
1.0
5.0976 0.0000 0.0000
0.0000 5.0976 0.0000
0.0000 0.0000 5.0976
Zr Pt Cl
3 1 1
Direct
0.0000 0.0000 0.5000
0.0000 0.5000 0.0000
0.5000 0.0000 0.0000
0.0000 0.0000 0.0000
0.5000 0.5000 0.5000
```


The following VASP energy values (in eV per atom) correspond, in order, to the records above: -28.815; -15.599; -35.449; -30.118; -17.023; -34.054.
The following magnetic moment values (in μB per cell) correspond, in order, to the records above: 0.00; 12.00; 3.92; 0.00; 0.00; 2.64.